No. 1
The following is a meta-GGA SCAN calculation of a crystal of AlGe3Au relaxed with PBEsol, from Alexandria via LeMat-Bulk.

a = 4.9596 Å, b = 4.9596 Å, c = 4.9596 Å
α = 90.00°, β = 90.00°, γ = 90.00°
Space group Pm-3m (No. 221)
Symmetry-distinct sites (fractional):
Al  0.0000  0.0000  0.0000 [1 per cell]
Ge  0.0000  0.5000  0.5000 [3 per cell]
Au  0.5000  0.5000  0.5000 [1 per cell]

Properties
Its total energy is -26.0818 eV/atom.

---

No. 2
The following is a meta-GGA SCAN calculation of a crystal of ScTl2 relaxed with PBEsol, from Alexandria via LeMat-Bulk.

a = 4.9432 Å, b = 4.9432 Å, c = 3.3421 Å
α = 90.00°, β = 90.00°, γ = 90.00°
Space group P4/mmm (No. 123)
Symmetry-distinct sites (fractional):
Sc  0.0000  0.0000  0.0000 [1 per cell]
Tl  0.0000  0.5000  0.5000 [2 per cell]

Properties
Its total energy is -53.2700 eV/atom.

---

No. 3
The following is a meta-GGA SCAN calculation of a crystal of MnBeAu2 relaxed with PBEsol, from Alexandria via LeMat-Bulk.

a = 2.8018 Å, b = 2.8018 Å, c = 6.9415 Å
α = 90.00°, β = 90.00°, γ = 90.00°
Space group P4mm (No. 99)
Symmetry-distinct sites (fractional):
Mn  0.0000  0.0000  0.0000 [1 per cell]
Be  0.5000  0.5000  0.8028 [1 per cell]
Au  0.0000  0.0000  0.5912 [1 per cell]
Au  0.5000  0.5000  0.2698 [1 per cell]

Properties
Its total energy is -40.4440 eV/atom.

---

No. 4
The following is a meta-GGA SCAN calculation of a crystal of KPd2Au2 relaxed with PBEsol, from Alexandria via LeMat-Bulk.

a = 4.1035 Å, b = 4.1035 Å, c = 12.2208 Å
α = 90.00°, β = 90.00°, γ = 90.00°
Space group I4/mmm (No. 139)
Symmetry-distinct sites (fractional):
K  0.0000  0.0000  0.0000 [2 per cell]
Pd  0.0000  0.5000  0.2500 [4 per cell]
Au  0.0000  0.0000  0.3920 [4 per cell]

Properties
The energy relative to the lowest polymorph listed for this composition is 0.1493 eV per atom.

---

No. 5
The following is a meta-GGA SCAN calculation of a crystal of GaBi2O relaxed with PBEsol, from Alexandria via LeMat-Bulk.

a = 5.5070 Å, b = 5.5070 Å, c = 13.5369 Å
α = 90.00°, β = 90.00°, γ = 90.00°
Space group I-42d (No. 122)
Symmetry-distinct sites (fractional):
Ga  0.0000  0.0000  0.0000 [4 per cell]
Bi  0.1693  0.2500  0.6250 [8 per cell]
O  0.0000  0.0000  0.5000 [4 per cell]

Properties
The calculation puts the formation energy from raw total energies at -93 meV/atom. The energy relative to the lowest polymorph listed for this composition is 0.0000 eV per atom.

---

No. 6
The following is a meta-GGA SCAN calculation of a crystal of Cu3Pt relaxed with PBEsol, from Alexandria via LeMat-Bulk.

a = 3.6633 Å, b = 3.6633 Å, c = 3.6633 Å
α = 90.00°, β = 90.00°, γ = 90.00°
Space group Pm-3m (No. 221)
Symmetry-distinct sites (fractional):
Cu  0.0000  0.0000  0.5000 [3 per cell]
Pt  0.5000  0.5000  0.5000 [1 per cell]

Properties
Its total energy is -29.1100 eV/atom.

---

No. 7
The following is a meta-GGA SCAN calculation of a crystal of PmPrIr2 relaxed with PBEsol, from Alexandria via LeMat-Bulk.

a = 6.9895 Å, b = 6.9895 Å, c = 6.9895 Å
α = 90.00°, β = 90.00°, γ = 90.00°
Space group Fm-3m (No. 225)
Symmetry-distinct sites (fractional):
Pm  0.0000  0.0000  0.0000 [4 per cell]
Pr  0.0000  0.0000  0.5000 [4 per cell]
Ir  0.2500  0.2500  0.2500 [8 per cell]

Properties
Its total energy is -58.0459 eV/atom.

---

No. 8
The following is a meta-GGA SCAN calculation of a crystal of SrZnAs2Br relaxed with PBEsol, from Alexandria via LeMat-Bulk.

a = 5.8386 Å, b = 5.8386 Å, c = 5.6769 Å
α = 90.00°, β = 90.00°, γ = 90.00°
Space group P4/mmm (No. 123)
Symmetry-distinct sites (fractional):
Sr  0.0000  0.0000  0.0000 [1 per cell]
Zn  0.5000  0.5000  0.5000 [1 per cell]
As  0.0000  0.5000  0.0000 [2 per cell]
Br  0.0000  0.0000  0.5000 [1 per cell]

Properties
The calculation puts the formation energy from raw total energies at 458 meV/atom.

---

No. 9
The following is a meta-GGA SCAN calculation of a crystal of Ba2DyReO6 relaxed with PBEsol, from Alexandria via LeMat-Bulk.

a = 8.3478 Å, b = 8.3478 Å, c = 8.3478 Å
α = 90.00°, β = 90.00°, γ = 90.00°
Space group Fm-3m (No. 225)
Symmetry-distinct sites (fractional):
Ba  0.2500  0.2500  0.2500 [8 per cell]
Dy  0.0000  0.0000  0.0000 [4 per cell]
Re  0.0000  0.0000  0.5000 [4 per cell]
O  0.0000  0.0000  0.2652 [24 per cell]

Properties
The calculation puts the formation energy from raw total energies at -2890 meV/atom.

---

No. 10
The following is a meta-GGA SCAN calculation of a crystal of RbVP2O7 relaxed with PBEsol, from Alexandria via LeMat-Bulk.

a = 7.5030 Å, b = 10.0486 Å, c = 8.2571 Å
α = 90.00°, β = 105.93°, γ = 90.00°
Space group P2_1/c (No. 14)
Symmetry-distinct sites (fractional):
Rb  0.1847  0.1831  0.0517 [4 per cell]
V  0.2370  0.5999  0.2613 [4 per cell]
P  0.1324  0.5966  0.8324 [4 per cell]
P  0.4362  0.6344  0.6885 [4 per cell]
O  0.0059  0.5019  0.2738 [4 per cell]
O  0.0866  0.7371  0.7605 [4 per cell]
O  0.1483  0.5891  0.0182 [4 per cell]
O  0.3208  0.6052  0.5094 [4 per cell]
O  0.3323  0.5553  0.8089 [4 per cell]
O  0.3686  0.0766  0.7684 [4 per cell]
O  0.4451  0.7185  0.2385 [4 per cell]

Properties
The calculation puts the formation energy from raw total energies at -2615 meV/atom.

---

No. 11
The following is a meta-GGA SCAN calculation of a crystal of AgSbOs relaxed with PBEsol, from Alexandria via LeMat-Bulk.

a = 6.1774 Å, b = 6.1774 Å, c = 6.1774 Å
α = 90.00°, β = 90.00°, γ = 90.00°
Space group F-43m (No. 216)
Symmetry-distinct sites (fractional):
Ag  0.0000  0.0000  0.0000 [4 per cell]
Sb  0.0000  0.0000  0.5000 [4 per cell]
Os  0.2500  0.2500  0.2500 [4 per cell]

Properties
The calculation puts the formation energy from raw total energies at 457 meV/atom. The energy relative to the lowest polymorph listed for this composition is 0.0000 eV per atom.

---

No. 12
The following is a meta-GGA SCAN calculation of a crystal of BaMgCd relaxed with PBEsol, from Alexandria via LeMat-Bulk.

a = 7.5574 Å, b = 7.5574 Å, c = 7.5574 Å
α = 90.00°, β = 90.00°, γ = 90.00°
Space group F-43m (No. 216)
Symmetry-distinct sites (fractional):
Ba  0.0000  0.0000  0.0000 [4 per cell]
Mg  0.2500  0.2500  0.7500 [4 per cell]
Cd  0.0000  0.0000  0.5000 [4 per cell]

Properties
Its total energy is -24.9163 eV/atom.

---

No. 13
The following is a meta-GGA SCAN calculation of a crystal of ScCo2W relaxed with PBEsol, from Alexandria via LeMat-Bulk.

a = 4.2644 Å, b = 4.2644 Å, c = 6.0009 Å
α = 90.00°, β = 90.00°, γ = 90.00°
Space group I4/mmm (No. 139)
Symmetry-distinct sites (fractional):
Sc  0.0000  0.0000  0.0000 [2 per cell]
Co  0.0000  0.5000  0.2500 [4 per cell]
W  0.0000  0.0000  0.5000 [2 per cell]

Properties
The energy relative to the lowest polymorph listed for this composition is 0.0000 eV per atom.

---

No. 14
The following is a meta-GGA SCAN calculation of a crystal of SiAgF2 relaxed with PBEsol, from Alexandria via LeMat-Bulk.

a = 2.7134 Å, b = 2.7134 Å, c = 27.1850 Å
α = 90.00°, β = 90.00°, γ = 120.00°
Space group R-3m (No. 166, hexagonal axes)
Symmetry-distinct sites (fractional):
Si  0.0000  0.0000  0.0000 [3 per cell]
Ag  0.0000  0.0000  0.5000 [3 per cell]
F  0.0000  0.0000  0.0603 [6 per cell]

Properties
The calculation puts the formation energy from raw total energies at -1419 meV/atom. The energy relative to the lowest polymorph listed for this composition is 0.0000 eV per atom.

---

No. 15
The following is a meta-GGA SCAN calculation of a crystal of Al3BiH relaxed with PBEsol, from Alexandria via LeMat-Bulk.

a = 4.4305 Å, b = 4.4305 Å, c = 4.4305 Å
α = 90.00°, β = 90.00°, γ = 90.00°
Space group Pm-3m (No. 221)
Symmetry-distinct sites (fractional):
Al  0.0000  0.0000  0.5000 [3 per cell]
Bi  0.5000  0.5000  0.5000 [1 per cell]
H  0.0000  0.0000  0.0000 [1 per cell]

Properties
Its total energy is -20.7070 eV/atom.

---

No. 16
The following is a meta-GGA SCAN calculation of a crystal of ReIr4Pt relaxed with PBEsol, from Alexandria via LeMat-Bulk.

a = 7.1424 Å, b = 7.1424 Å, c = 7.1424 Å
α = 90.00°, β = 90.00°, γ = 90.00°
Space group F-43m (No. 216)
Symmetry-distinct sites (fractional):
Re  0.0000  0.0000  0.0000 [4 per cell]
Ir  0.1249  0.1249  0.6249 [16 per cell]
Pt  0.2500  0.2500  0.2500 [4 per cell]

Properties
Its total energy is -70.2907 eV/atom.

---

No. 17
The following is a meta-GGA SCAN calculation of a crystal of Zn2InCl relaxed with PBEsol, from Alexandria via LeMat-Bulk.

a = 3.2972 Å, b = 3.2972 Å, c = 7.1973 Å
α = 90.00°, β = 90.00°, γ = 90.00°
Space group P4mm (No. 99)
Symmetry-distinct sites (fractional):
Zn  0.0000  0.0000  0.0000 [1 per cell]
Zn  0.5000  0.5000  0.1849 [1 per cell]
In  0.5000  0.5000  0.7442 [1 per cell]
Cl  0.0000  0.0000  0.4117 [1 per cell]

Properties
The calculation puts the formation energy from raw total energies at -112 meV/atom. The energy relative to the lowest polymorph listed for this composition is 0.0000 eV per atom.

---

No. 18
The following is a meta-GGA SCAN calculation of a crystal of TePt2Br relaxed with PBEsol, from Alexandria via LeMat-Bulk.

a = 3.9161 Å, b = 3.9161 Å, c = 19.9660 Å
α = 90.00°, β = 90.00°, γ = 120.00°
Space group R3m (No. 160, hexagonal axes)
Symmetry-distinct sites (fractional):
Te  0.0000  0.0000  0.0000 [3 per cell]
Pt  0.0000  0.0000  0.2724 [3 per cell]
Pt  0.0000  0.0000  0.5372 [3 per cell]
Br  0.0000  0.0000  0.8047 [3 per cell]

Properties
The calculation puts the formation energy from raw total energies at -320 meV/atom.

---

No. 19
The following is a meta-GGA SCAN calculation of a crystal of ZnTc3Pd relaxed with PBEsol, from Alexandria via LeMat-Bulk.

a = 4.6002 Å, b = 4.6002 Å, c = 4.6002 Å
α = 90.00°, β = 90.00°, γ = 90.00°
Space group Pm-3m (No. 221)
Symmetry-distinct sites (fractional):
Zn  0.0000  0.0000  0.0000 [1 per cell]
Tc  0.0000  0.5000  0.5000 [3 per cell]
Pd  0.5000  0.5000  0.5000 [1 per cell]

Properties
The energy relative to the lowest polymorph listed for this composition is 0.4232 eV per atom.

---

No. 20
The following is a meta-GGA SCAN calculation of a crystal of MgScS2N relaxed with PBEsol, from Alexandria via LeMat-Bulk.

a = 4.7289 Å, b = 4.7289 Å, c = 3.8501 Å
α = 90.00°, β = 90.00°, γ = 90.00°
Space group P4/mmm (No. 123)
Symmetry-distinct sites (fractional):
Mg  0.0000  0.0000  0.0000 [1 per cell]
Sc  0.5000  0.5000  0.5000 [1 per cell]
S  0.0000  0.5000  0.0000 [2 per cell]
N  0.0000  0.0000  0.5000 [1 per cell]

Properties
The calculation puts the formation energy from raw total energies at -333 meV/atom.

---

No. 21
The following is a meta-GGA SCAN calculation of a crystal of Ag2HgBiAu relaxed with PBEsol, from Alexandria via LeMat-Bulk.

a = 5.0533 Å, b = 5.0533 Å, c = 5.5006 Å
α = 90.00°, β = 90.00°, γ = 90.00°
Space group P4/mmm (No. 123)
Symmetry-distinct sites (fractional):
Ag  0.0000  0.5000  0.0000 [2 per cell]
Hg  0.0000  0.0000  0.0000 [1 per cell]
Bi  0.0000  0.0000  0.5000 [1 per cell]
Au  0.5000  0.5000  0.5000 [1 per cell]

Properties
Its total energy is -54.8969 eV/atom.

---

No. 22
The following is a meta-GGA SCAN calculation of a crystal of SrCoSi2 relaxed with PBEsol, from Alexandria via LeMat-Bulk.

a = 3.8820 Å, b = 3.8820 Å, c = 16.6807 Å
α = 90.00°, β = 90.00°, γ = 120.00°
Space group R-3m (No. 166, hexagonal axes)
Symmetry-distinct sites (fractional):
Sr  0.0000  0.0000  0.0000 [3 per cell]
Co  0.0000  0.0000  0.5000 [3 per cell]
Si  0.0000  0.0000  0.2020 [6 per cell]

Properties
The calculation puts the formation energy from raw total energies at -416 meV/atom.

---

No. 23
The following is a meta-GGA SCAN calculation of a crystal of La3GdBr4O4 relaxed with PBEsol, from Alexandria via LeMat-Bulk.

a = 4.0569 Å, b = 4.0569 Å, c = 14.7981 Å
α = 90.00°, β = 90.00°, γ = 90.00°
Space group P4mm (No. 99)
Symmetry-distinct sites (fractional):
La  0.0000  0.0000  0.0000 [1 per cell]
La  0.0000  0.0000  0.4901 [1 per cell]
La  0.5000  0.5000  0.6542 [1 per cell]
Gd  0.5000  0.5000  0.1549 [1 per cell]
Br  0.0000  0.0000  0.2552 [1 per cell]
Br  0.0000  0.0000  0.7575 [1 per cell]
Br  0.5000  0.5000  0.3896 [1 per cell]
Br  0.5000  0.5000  0.8989 [1 per cell]
O  0.0000  0.5000  0.0818 [2 per cell]
O  0.0000  0.5000  0.5728 [2 per cell]

Properties
The calculation puts the formation energy from raw total energies at -3253 meV/atom.

---

No. 24
The following is a meta-GGA SCAN calculation of a crystal of TlRu2Pt relaxed with PBEsol, from Alexandria via LeMat-Bulk.

a = 5.4447 Å, b = 9.5388 Å, c = 2.7998 Å
α = 90.00°, β = 119.03°, γ = 90.00°
Space group C2/m (No. 12)
Symmetry-distinct sites (fractional):
Tl  0.0000  0.0000  0.0000 [2 per cell]
Ru  0.2500  0.2500  0.5000 [4 per cell]
Pt  0.0000  0.5000  0.0000 [2 per cell]

Properties
Its total energy is -52.4389 eV/atom.

---

No. 25
The following is a meta-GGA SCAN calculation of a crystal of HfScSN2 relaxed with PBEsol, from Alexandria via LeMat-Bulk.

a = 4.0479 Å, b = 4.0479 Å, c = 4.9470 Å
α = 90.00°, β = 90.00°, γ = 90.00°
Space group P4/mmm (No. 123)
Symmetry-distinct sites (fractional):
Hf  0.0000  0.0000  0.0000 [1 per cell]
Sc  0.5000  0.5000  0.5000 [1 per cell]
S  0.0000  0.0000  0.5000 [1 per cell]
N  0.0000  0.5000  0.0000 [2 per cell]

Properties
The calculation puts the formation energy from raw total energies at -728 meV/atom.

---

No. 26
The following is a meta-GGA SCAN calculation of a crystal of CeSmFe4 relaxed with PBEsol, from Alexandria via LeMat-Bulk.

a = 7.1342 Å, b = 7.1342 Å, c = 7.1342 Å
α = 90.00°, β = 90.00°, γ = 90.00°
Space group F-43m (No. 216)
Symmetry-distinct sites (fractional):
Ce  0.0000  0.0000  0.0000 [4 per cell]
Sm  0.2500  0.2500  0.2500 [4 per cell]
Fe  0.1254  0.1254  0.6254 [16 per cell]

Properties
Its total energy is -26.8743 eV/atom.

---

No. 27
The following is a meta-GGA SCAN calculation of a crystal of ZrAgRh relaxed with PBEsol, from Alexandria via LeMat-Bulk.

a = 2.8933 Å, b = 2.8933 Å, c = 6.9927 Å
α = 90.00°, β = 90.00°, γ = 120.00°
Space group P3m1 (No. 156)
Symmetry-distinct sites (fractional):
Zr  0.0000  0.0000  0.0000 [1 per cell]
Ag  0.6667  0.3333  0.6402 [1 per cell]
Rh  0.3333  0.6667  0.3124 [1 per cell]

Properties
Its total energy is -31.9936 eV/atom.